A relaxed structure of KZrBe2Ga. Source: the Alexandria database, functional PBE.

The value obtained for the total DFT energy (no corrections) is -1.872 eV per atom. For the magnetization, the calculation gives 0.0 μB per cell. The calculation puts the formation energy at 2.153 eV per atom. Its polymorph energy (0 for the lowest one) is 552 kJ/mol of formula units.

Unit cell a=4.5764 b=4.5764 c=5.1174 alpha=90.00 beta=90.00 gamma=90.00
Space group P4/mmm (No. 123)
Inequivalent atoms, fractional coordinates:
K: 0.0000 0.0000 0.0000
Zr: 0.0000 0.0000 0.5000
Be: 0.0000 0.5000 0.0000
Ga: 0.5000 0.5000 0.5000

A relaxed structure of BaLa2Cr. Source: the Alexandria database, functional PBE.

The value obtained for the total DFT energy (no corrections) is -4.819 eV per atom. For the magnetization, the calculation gives 4.3 μB per cell. The calculation puts the formation energy at 0.531 eV per atom. Its polymorph energy (0 for the lowest one) is 84 kJ/mol of formula units.

Unit cell a=5.9476 b=3.9573 c=6.0442 alpha=90.00 beta=93.96 gamma=90.00
Space group P2/m (No. 10)
Inequivalent atoms, fractional coordinates:
Ba: 0.0000 0.0000 0.0000
La: 0.0000 0.5000 0.5000
La: 0.5000 0.0000 0.5000
Cr: 0.5000 0.5000 0.0000

A relaxed structure of CaMo2Cl. Source: the Alexandria database, functional PBE.

The value obtained for the total DFT energy (no corrections) is -6.450 eV per atom. The calculation puts the formation energy without anion corrections at -0.07 eV per atom. For the magnetization, the calculation gives 0.0 μB per cell. Its polymorph energy (0 for the lowest one) is 27 kJ/mol of formula units.

Unit cell a=3.3601 b=3.3601 c=26.8654 alpha=90.00 beta=90.00 gamma=120.00
Space group R3m (No. 160, hexagonal axes)
Inequivalent atoms, fractional coordinates:
Ca: 0.0000 0.0000 0.0000
Mo: 0.0000 0.0000 0.4914
Mo: 0.0000 0.0000 0.7673
Cl: 0.0000 0.0000 0.2619